# SrLiAgSn

SrLiAgSn after structural relaxation (GGA-PBE, Alexandria).

abc: 4.7262 4.7229 8.3064
angles: 106.43 90.00 120.02
With the nearest neighbours (Å) after each atom.
Positions (direct):
Sr: 0.2234 0.4469 0.5655  3 Ag 3.15
Li: 0.3876 0.7752 0.0495  1 Ag 2.47
Ag: 0.4903 0.9805 0.3645  1 Li 2.47
Sn: 0.7946 0.5892 0.2761  3 Ag 2.81-2.82

Summary:
* SG: Cm
* DFT formation energy: -0.042 eV/atom
* DOS at the Fermi energy: 0.52 states/eV/atom
* density: 3.51 Mg/m³